Density functional theory data (PBE-GGA) for a relaxed Co2Re crystal.

Cell: 4.7429 4.7429 4.7429 Å, 105.28 105.28 118.23°
Last column: nearest neighbours and their distance in Å.
Positions (direct):
Co  0.1363  0.6363  0.7726  1 Co 2.22
Co  0.3637  0.1363  0.5000  1 Co 2.22
Co  0.6363  0.8637  0.5000  1 Co 2.22
Co  0.8637  0.3637  0.2274  1 Co 2.22
Re  0.2500  0.2500  0.0000  2 Re 2.43, 8 Co 2.55
Re  0.7500  0.7500  0.0000  2 Re 2.43, 8 Co 2.55

DFT total energy: -50.1 eV per cell
Energy relative to the lowest polymorph listed for this composition: 0.581 eV/atom
Energy of formation from the pure elements: 0.532 eV per atom

---

Density functional theory data (PBE-GGA) for a relaxed Ce3Cu2Rh3 crystal.

Cell: 8.1626 8.1626 5.3860 Å, 90.00 90.00 120.00°
Last column: nearest neighbours and their distance in Å.
Positions (direct):
Ce  0.0000  0.2755  0.2500  5 Rh 2.76-2.84
Ce  0.0000  0.7245  0.7500  5 Rh 2.76-2.84
Ce  0.2755  0.0000  0.2500  5 Rh 2.76-2.84
Ce  0.2755  0.2755  0.7500  5 Rh 2.76-2.84
Ce  0.7245  0.0000  0.7500  5 Rh 2.76-2.84
Ce  0.7245  0.7245  0.2500  5 Rh 2.76-2.84
Cu  0.3333  0.6667  0.0000  2 Cu 2.69, 6 Rh 2.87
Cu  0.3333  0.6667  0.5000  2 Cu 2.69, 6 Rh 2.87
Cu  0.6667  0.3333  0.0000  2 Cu 2.69, 6 Rh 2.87
Cu  0.6667  0.3333  0.5000  2 Cu 2.69, 6 Rh 2.87
Rh  0.0000  0.3867  0.7500  5 Ce 2.76-2.84, 4 Cu 2.87
Rh  0.0000  0.6133  0.2500  5 Ce 2.76-2.84, 4 Cu 2.87
Rh  0.3867  0.0000  0.7500  5 Ce 2.76-2.84, 4 Cu 2.87
Rh  0.3867  0.3867  0.2500  5 Ce 2.76-2.84, 4 Cu 2.87
Rh  0.6133  0.0000  0.2500  5 Ce 2.76-2.84, 4 Cu 2.87
Rh  0.6133  0.6133  0.7500  5 Ce 2.76-2.84, 4 Cu 2.87

DFT total energy: -103.5 eV per cell
Energy of formation from the pure elements: -0.465 eV per atom

---

Density functional theory data (PBE-GGA) for a relaxed Pr12NdY5 crystal.

Cell: 11.0194 11.0194 5.2072 Å, 90.00 90.00 90.23°
Last column: nearest neighbours and their distance in Å.
Positions (direct):
Pr  0.0012  0.6681  0.5000  4 Y 3.65-3.66, 8 Pr 3.68-3.71
Pr  0.1646  0.1646  0.0000  4 Y 3.65, 8 Pr 3.68-3.70
Pr  0.1671  0.5008  0.0000  3 Y 3.66-3.67, 1 Nd 3.67, 8 Pr 3.68-3.70
Pr  0.3319  0.9988  0.5000  4 Y 3.65-3.66, 8 Pr 3.68-3.71
Pr  0.3334  0.3334  0.5000  2 Nd 3.67, 2 Y 3.68, 8 Pr 3.68-3.70
Pr  0.4992  0.8329  0.0000  3 Y 3.66-3.67, 1 Nd 3.67, 8 Pr 3.68-3.70
Pr  0.5008  0.1671  0.0000  3 Y 3.66-3.67, 1 Nd 3.67, 8 Pr 3.68-3.70
Pr  0.6666  0.6666  0.5000  2 Nd 3.67, 2 Y 3.68, 8 Pr 3.68-3.70
Pr  0.6681  0.0012  0.5000  4 Y 3.65-3.66, 8 Pr 3.68-3.71
Pr  0.8329  0.4992  0.0000  3 Y 3.66-3.67, 1 Nd 3.67, 8 Pr 3.68-3.70
Pr  0.8354  0.8354  0.0000  4 Y 3.65, 8 Pr 3.68-3.70
Pr  0.9988  0.3319  0.5000  4 Y 3.65-3.66, 8 Pr 3.68-3.71
Nd  0.5000  0.5000  0.0000  8 Pr 3.67, 4 Y 3.69
Y  0.0000  0.0000  0.5000  8 Pr 3.65-3.66, 4 Y 3.68
Y  0.1669  0.8331  0.0000  8 Pr 3.65-3.66, 4 Y 3.67-3.68
Y  0.3329  0.6671  0.5000  8 Pr 3.65-3.68, 2 Y 3.67, 2 Nd 3.69
Y  0.6671  0.3329  0.5000  8 Pr 3.65-3.68, 2 Y 3.67, 2 Nd 3.69
Y  0.8331  0.1669  0.0000  8 Pr 3.65-3.66, 4 Y 3.67-3.68

DFT total energy: -94.1 eV per cell
Energy of formation from the pure elements: 0.017 eV per atom

---

Density functional theory data (PBE-GGA) for a relaxed Cs2OsPtF crystal.

Cell: 6.1863 6.1863 4.7405 Å, 90.00 90.00 90.00°
Last column: nearest neighbours and their distance in Å.
Positions (direct):
Cs  0.0000  0.5000  0.0000  2 Os 3.09
Cs  0.5000  0.0000  0.0000  2 Os 3.09
Os  0.0000  0.0000  0.0000  2 Pt 2.37
Pt  0.0000  0.0000  0.5000  2 Os 2.37
F  0.5000  0.5000  0.5000  8 Cs 3.90

DFT total energy: -19.9 eV per cell
Formation energy from raw total energies: 1.00 eV per formula unit

---

Density functional theory data (PBE-GGA) for a relaxed Ba2Cd2Hg crystal.

Cell: 6.7773 6.7773 10.9987 Å, 110.57 110.57 47.60°
Last column: nearest neighbours and their distance in Å.
Positions (direct):
Ba  0.0998  0.0998  0.3852  2 Hg 3.50-3.79, 7 Cd 3.64-3.88
Ba  0.1762  0.1762  0.0518  6 Cd 3.49-3.82, 3 Hg 3.53-3.85, 2 Ba 3.71
Ba  0.8238  0.8238  0.9482  6 Cd 3.49-3.82, 3 Hg 3.53-3.85, 2 Ba 3.71
Ba  0.9002  0.9002  0.6148  2 Hg 3.50-3.79, 7 Cd 3.64-3.88
Cd  0.4002  0.4002  0.3640  2 Cd 3.06-3.19, 2 Hg 3.14
Cd  0.4969  0.4969  0.8605  2 Cd 3.04-3.19, 1 Hg 3.06
Cd  0.5031  0.5031  0.1395  2 Cd 3.04-3.19, 1 Hg 3.06
Cd  0.5998  0.5998  0.6360  2 Cd 3.06-3.19, 2 Hg 3.14
Hg  0.2302  0.2302  0.7299  3 Cd 3.06-3.14
Hg  0.7698  0.7698  0.2701  3 Cd 3.06-3.14

DFT total energy: -15.3 eV per cell
Energy relative to the lowest polymorph listed for this composition: 0.026 eV/atom
Energy of formation from the pure elements: -0.336 eV per atom

---

Density functional theory data (PBE-GGA) for a relaxed VCd3Sb crystal.

Cell: 5.5806 5.5806 5.5806 Å, 90.00 90.00 90.00°
Last column: nearest neighbours and their distance in Å.
Positions (direct):
V  0.0000  0.0000  0.0000  12 Cd 3.95
Cd  0.0000  0.5000  0.5000  2 Sb 2.79
Cd  0.5000  0.0000  0.5000  2 Sb 2.79
Cd  0.5000  0.5000  0.0000  2 Sb 2.79
Sb  0.5000  0.5000  0.5000  6 Cd 2.79

DFT total energy: -10.8 eV per cell
Energy relative to the lowest polymorph listed for this composition: 0.199 eV/atom
Formation energy from raw total energies: 5.19 eV per formula unit

---

Density functional theory data (PBE-GGA) for a relaxed AcIn5Hg3 crystal.

Cell: 4.6813 13.3787 7.9922 Å, 90.00 90.08 90.00°
Last column: nearest neighbours and their distance in Å.
Positions (direct):
Ac  0.0001  0.2500  0.2302  6 Hg 3.46-3.53, 8 In 3.74-3.82
Ac  0.9999  0.7500  0.7698  6 Hg 3.46-3.53, 8 In 3.74-3.82
In  0.0000  0.0000  0.0000  6 In 3.07-3.30
In  0.9995  0.0950  0.6189  6 Hg 3.16-3.49, 4 In 3.17-3.39
In  0.9995  0.4050  0.6189  6 Hg 3.16-3.49, 4 In 3.17-3.39
In  0.0000  0.5000  0.0000  6 In 3.07-3.30
In  0.0005  0.5950  0.3811  6 Hg 3.16-3.49, 4 In 3.17-3.39
In  0.0005  0.9050  0.3811  6 Hg 3.16-3.49, 4 In 3.17-3.39
In  0.4997  0.1394  0.9162  3 In 2.96-3.07, 3 Hg 3.20-3.23
In  0.4997  0.3606  0.9162  3 In 2.96-3.07, 3 Hg 3.20-3.23
In  0.5003  0.6394  0.0838  3 In 2.96-3.07, 3 Hg 3.20-3.23
In  0.5003  0.8606  0.0838  3 In 2.96-3.07, 3 Hg 3.20-3.23
Hg  0.4995  0.2500  0.5608  6 In 3.16-3.20, 2 Hg 3.25, 2 Ac 3.53
Hg  0.5003  0.0639  0.2998  8 In 3.22-3.49, 1 Hg 3.25, 2 Ac 3.46
Hg  0.5003  0.4361  0.2998  8 In 3.22-3.49, 1 Hg 3.25, 2 Ac 3.46
Hg  0.4997  0.5639  0.7002  8 In 3.22-3.49, 1 Hg 3.25, 2 Ac 3.46
Hg  0.4997  0.9361  0.7002  8 In 3.22-3.49, 1 Hg 3.25, 2 Ac 3.46
Hg  0.5005  0.7500  0.4392  6 In 3.16-3.20, 2 Hg 3.25, 2 Ac 3.53

DFT total energy: -40.4 eV per cell
Energy of formation from the pure elements: -0.169 eV per atom

---

Density functional theory data (PBE-GGA) for a relaxed Cs2AgI4 crystal.

Cell: 10.5447 10.5447 10.5447 Å, 147.86 147.86 46.09°
Last column: nearest neighbours and their distance in Å.
Positions (direct):
Cs  0.1414  0.1414  0.0000  9 I 3.93-4.14
Cs  0.8586  0.8586  0.0000  9 I 3.93-4.14
Ag  0.5000  0.5000  0.0000  6 I 2.92-3.03
I  0.0000  0.5000  0.5000  2 Ag 2.92
I  0.3438  0.3438  0.0000  1 Ag 3.03
I  0.5000  0.0000  0.5000  2 Ag 2.92
I  0.6562  0.6562  0.0000  1 Ag 3.03

DFT total energy: -17.2 eV per cell
Energy relative to the lowest polymorph listed for this composition: 0.030 eV/atom
Formation energy from raw total energies: -6.48 eV per formula unit

---

Question: Among the records above, which one has the lowest DFT total energy?
Answer: Ce3Cu2Rh3